This record from Alexandria describes a relaxed TlNiSb2 crystal. The functional is PBEsol.

a b c (Å): 4.9895 4.9895 4.9895
angles (deg): 60.00 60.00 60.00
Atoms (fractional coordinates):
Ni: 0.0000 0.0000 0.0000
Sb: 0.2500 0.2500 0.2500
Sb: 0.7500 0.7500 0.7500
Tl: 0.5000 0.5000 0.5000

- Energy relative to the elements, uncorrected: 427 meV/atom
- Space group: Fm-3m
- Total energy: -16.19 eV/f.u.
- Energy relative to the lowest polymorph listed for this composition: 526.8 meV per atom

***

This record from Alexandria describes a relaxed TmNiSb crystal. The functional is PBEsol.

a b c (Å): 4.3854 4.3854 4.3854
angles (deg): 60.00 60.00 60.00
Atoms (fractional coordinates):
Sb: 0.0000 0.0000 0.0000
Tm: 0.5000 0.5000 0.5000
Ni: 0.2500 0.2500 0.2500

- Energy relative to the elements, uncorrected: -949 meV/atom
- Space group: F-43m
- Total energy: -18.46 eV/f.u.

***

This record from Alexandria describes a relaxed U3Ni3Sb4 crystal. The functional is PBEsol.

a b c (Å): 8.0029 8.0029 8.0029
angles (deg): 109.47 109.47 109.47
Atoms (fractional coordinates):
U: 0.1250 0.2500 0.3750
U: 0.3750 0.7500 0.1250
U: 0.7500 0.6250 0.8750
U: 0.2500 0.8750 0.6250
U: 0.8750 0.1250 0.7500
U: 0.6250 0.3750 0.2500
Ni: 0.6250 0.2500 0.8750
Ni: 0.8750 0.7500 0.6250
Ni: 0.7500 0.1250 0.3750
Ni: 0.2500 0.3750 0.1250
Ni: 0.3750 0.6250 0.7500
Ni: 0.1250 0.8750 0.2500
Sb: 0.3332 0.3332 0.8332
Sb: 0.5000 0.1668 0.5000
Sb: 0.0000 0.5000 0.6668
Sb: 0.1668 0.0000 0.0000
Sb: 0.5000 0.6668 0.5000
Sb: 0.8332 0.8332 0.3332
Sb: 0.0000 0.5000 0.1668
Sb: 0.6668 0.0000 0.0000

- Energy relative to the elements, uncorrected: -390 meV/atom
- Space group: I-43d
- Total energy: -77.08 eV/f.u.

***

This record from Alexandria describes a relaxed VNiSb crystal. The functional is PBEsol.

a b c (Å): 4.1093 4.1093 4.1093
angles (deg): 60.00 60.00 60.00
Atoms (fractional coordinates):
V: 0.0000 0.0000 0.0000
Ni: 0.7500 0.7500 0.7500
Sb: 0.5000 0.5000 0.5000

- Energy relative to the elements, uncorrected: -123 meV/atom
- Space group: F-43m
- Total energy: -20.72 eV/f.u.

***

This record from Alexandria describes a relaxed NiSb2W crystal. The functional is PBEsol.

a b c (Å): 3.3583 4.5285 4.5285
angles (deg): 90.00 90.00 90.00
Atoms (fractional coordinates):
Ni: 0.5000 0.0000 0.0000
Sb: 0.0000 0.0000 0.5000
Sb: 0.0000 0.5000 0.0000
W: 0.5000 0.5000 0.5000

- Energy relative to the elements, uncorrected: 425 meV/atom
- Space group: P4/mmm
- Total energy: -27.38 eV/f.u.

***

This record from Alexandria describes a relaxed Ni6SbW crystal. The functional is PBEsol.

a b c (Å): 6.2846 6.2846 10.3304
angles (deg): 90.00 90.00 109.35
Atoms (fractional coordinates):
Ni: 0.2542 0.7458 0.7604
Ni: 0.8715 0.6177 0.8802
Ni: 0.1285 0.3823 0.8802
Ni: 0.7458 0.2542 0.7604
Ni: 0.3823 0.1285 0.8802
Ni: 0.6177 0.8715 0.8802
Ni: 0.5000 0.5000 0.5000
Ni: 0.1349 0.3823 0.6318
Ni: 0.3823 0.1349 0.6318
Ni: 0.2542 0.7458 0.2396
Ni: 0.8651 0.6177 0.3682
Ni: 0.1349 0.3823 0.3682
Ni: 0.7458 0.2542 0.2396
Ni: 0.3823 0.1349 0.3682
Ni: 0.6177 0.8651 0.3682
Ni: 0.5000 0.5000 0.0000
Ni: 0.1285 0.3823 0.1198
Ni: 0.3823 0.1285 0.1198
Ni: 0.0000 0.0000 0.5000
Ni: 0.6177 0.8651 0.6318
Ni: 0.8651 0.6177 0.6318
Ni: 0.0000 0.0000 0.0000
Ni: 0.6177 0.8715 0.1198
Ni: 0.8715 0.6177 0.1198
Sb: 0.2491 0.7509 0.5000
Sb: 0.7509 0.2491 0.5000
Sb: 0.0000 0.0000 0.7512
Sb: 0.0000 0.0000 0.2488
W: 0.2537 0.7463 0.0000
W: 0.7463 0.2537 0.0000
W: 0.5000 0.5000 0.7477
W: 0.5000 0.5000 0.2523

- Energy relative to the elements, uncorrected: -86 meV/atom
- Space group: Cmmm
- Total energy: -56.00 eV/f.u.

***

This record from Alexandria describes a relaxed Y2NiSb crystal. The functional is PBEsol.

a b c (Å): 4.0866 4.1236 5.8384
angles (deg): 90.00 110.49 90.00
Atoms (fractional coordinates):
Y: 0.9655 0.0000 0.9310
Y: 0.2582 0.5000 0.5163
Sb: 0.5480 0.5000 0.0959
Ni: 0.7044 0.0000 0.4087

- Energy relative to the elements, uncorrected: -750 meV/atom
- Space group: Amm2
- Total energy: -27.36 eV/f.u.
- Energy relative to the lowest polymorph listed for this composition: 0.0 meV per atom

***

This record from Alexandria describes a relaxed YNiSb crystal. The functional is PBEsol.

a b c (Å): 3.9581 4.2435 4.2435
angles (deg): 120.00 90.00 90.00
Atoms (fractional coordinates):
Y: 0.5000 0.6667 0.3333
Sb: 0.0000 0.3333 0.6667
Ni: 0.0000 0.0000 0.0000

- Energy relative to the elements, uncorrected: -846 meV/atom
- Space group: P-6m2
- Total energy: -20.07 eV/f.u.

***

This record from Alexandria describes a relaxed Y2NiSb crystal. The functional is PBEsol.

a b c (Å): 4.7813 5.1371 4.7813
angles (deg): 62.27 90.00 117.73
Atoms (fractional coordinates):
Ni: 0.5000 0.0000 0.5000
Sb: 0.0000 0.0000 0.0000
Y: 0.2500 0.5000 0.2500
Y: 0.7500 0.5000 0.7500

- Energy relative to the elements, uncorrected: -511 meV/atom
- Space group: I4/mmm
- Total energy: -26.40 eV/f.u.
- Energy relative to the lowest polymorph listed for this composition: 238.8 meV per atom

***

This record from Alexandria describes a relaxed Y2NiSb crystal. The functional is PBEsol.

a b c (Å): 4.1674 4.1674 5.9022
angles (deg): 110.67 110.67 90.00
Atoms (fractional coordinates):
Ni: 0.5000 0.5000 0.0000
Sb: 0.2500 0.7500 0.5000
Y: 0.0000 0.0000 0.0000
Y: 0.7500 0.2500 0.5000

- Energy relative to the elements, uncorrected: -507 meV/atom
- Space group: I-4m2
- Total energy: -26.39 eV/f.u.
- Energy relative to the lowest polymorph listed for this composition: 242.9 meV per atom

***

This record from Alexandria describes a relaxed ZnNiSb2 crystal. The functional is PBEsol.

a b c (Å): 4.7984 4.7984 4.7984
angles (deg): 60.00 60.00 60.00
Atoms (fractional coordinates):
Ni: 0.5000 0.5000 0.5000
Sb: 0.0000 0.0000 0.0000
Sb: 0.7500 0.7500 0.7500
Zn: 0.2500 0.2500 0.2500

- Energy relative to the elements, uncorrected: 443 meV/atom
- Space group: F-43m
- Total energy: -15.08 eV/f.u.

***

This record from Alexandria describes a relaxed Zn3NiSb crystal. The functional is PBEsol.

a b c (Å): 4.5054 4.5054 4.5054
angles (deg): 90.00 90.00 90.00
Atoms (fractional coordinates):
Sb: 0.5000 0.5000 0.5000
Zn: 0.0000 0.5000 0.0000
Zn: 0.0000 0.0000 0.5000
Zn: 0.5000 0.0000 0.0000
Ni: 0.0000 0.0000 0.0000

- Energy relative to the elements, uncorrected: 269 meV/atom
- Space group: Pm-3m
- Total energy: -14.11 eV/f.u.

***

This record from Alexandria describes a relaxed ZnNiSb2 crystal. The functional is PBEsol.

a b c (Å): 4.4091 4.5421 4.5412
angles (deg): 116.13 90.00 90.00
Atoms (fractional coordinates):
Ni: 0.5000 0.2930 0.7068
Sb: 0.0000 0.1076 0.8923
Sb: 0.5000 0.6548 0.3452
Zn: 0.0000 0.4446 0.5557

- Energy relative to the elements, uncorrected: -30 meV/atom
- Space group: Amm2
- Total energy: -16.97 eV/f.u.

***

This record from Alexandria describes a relaxed ZnNiSb crystal. The functional is PBEsol.

a b c (Å): 4.1396 4.1396 4.1396
angles (deg): 60.00 60.00 60.00
Atoms (fractional coordinates):
Sb: 0.2500 0.2500 0.2500
Zn: 0.7500 0.7500 0.7500
Ni: 0.0000 0.0000 0.0000

- Energy relative to the elements, uncorrected: -250 meV/atom
- Space group: F-43m
- Total energy: -13.05 eV/f.u.
- Energy relative to the lowest polymorph listed for this composition: 0.0 meV per atom

***

This record from Alexandria describes a relaxed ZnNiSb crystal. The functional is PBEsol.

a b c (Å): 4.2464 4.2464 4.2464
angles (deg): 60.00 60.00 60.00
Atoms (fractional coordinates):
Ni: 0.5000 0.5000 0.5000
Sb: 0.7500 0.7500 0.7500
Zn: 0.0000 0.0000 0.0000

- Energy relative to the elements, uncorrected: 156 meV/atom
- Space group: F-43m
- Total energy: -11.83 eV/f.u.
- Energy relative to the lowest polymorph listed for this composition: 405.5 meV per atom

***

This record from Alexandria describes a relaxed ZrNi4Sb crystal. The functional is PBEsol.

a b c (Å): 4.8395 4.8395 4.8395
angles (deg): 60.00 60.00 60.00
Atoms (fractional coordinates):
Ni: 0.3744 0.3744 0.3744
Ni: 0.3744 0.3744 0.8769
Ni: 0.8769 0.3744 0.3744
Ni: 0.3744 0.8769 0.3744
Sb: 0.7500 0.7500 0.7500
Zr: 0.0000 0.0000 0.0000

- Energy relative to the elements, uncorrected: -375 meV/atom
- Space group: F-43m
- Total energy: -40.52 eV/f.u.

***

This record from Alexandria describes a relaxed ZrNiSb2 crystal. The functional is PBEsol.

a b c (Å): 4.8027 4.8027 4.8027
angles (deg): 60.00 60.00 60.00
Atoms (fractional coordinates):
Ni: 0.0000 0.0000 0.0000
Sb: 0.7500 0.7500 0.7500
Sb: 0.2500 0.2500 0.2500
Zr: 0.5000 0.5000 0.5000

- Energy relative to the elements, uncorrected: -79 meV/atom
- Space group: Fm-3m
- Total energy: -24.68 eV/f.u.

***

This record from Alexandria describes a relaxed ZrNi6Sb crystal. The functional is PBEsol.

a b c (Å): 6.3846 6.3846 10.4068
angles (deg): 90.00 90.00 109.52
Atoms (fractional coordinates):
Ni: 0.2509 0.7491 0.7497
Ni: 0.8757 0.6252 0.8749
Ni: 0.1243 0.3748 0.8749
Ni: 0.7491 0.2509 0.7497
Ni: 0.3748 0.1243 0.8749
Ni: 0.6252 0.8757 0.8749
Ni: 0.5000 0.5000 0.5000
Ni: 0.1242 0.3723 0.6246
Ni: 0.3723 0.1242 0.6246
Ni: 0.2509 0.7491 0.2503
Ni: 0.8758 0.6277 0.3754
Ni: 0.1242 0.3723 0.3754
Ni: 0.7491 0.2509 0.2503
Ni: 0.3723 0.1242 0.3754
Ni: 0.6277 0.8758 0.3754
Ni: 0.5000 0.5000 0.0000
Ni: 0.1243 0.3748 0.1251
Ni: 0.3748 0.1243 0.1251
Ni: 0.0000 0.0000 0.5000
Ni: 0.6277 0.8758 0.6246
Ni: 0.8758 0.6277 0.6246
Ni: 0.0000 0.0000 0.0000
Ni: 0.6252 0.8757 0.1251
Ni: 0.8757 0.6252 0.1251
Sb: 0.2548 0.7452 0.5000
Sb: 0.7452 0.2548 0.5000
Sb: 0.0000 0.0000 0.7513
Sb: 0.0000 0.0000 0.2487
Zr: 0.2540 0.7460 0.0000
Zr: 0.7460 0.2540 0.0000
Zr: 0.5000 0.5000 0.7507
Zr: 0.5000 0.5000 0.2493

- Energy relative to the elements, uncorrected: -319 meV/atom
- Space group: Cmmm
- Total energy: -53.14 eV/f.u.

***

This record from Alexandria describes a relaxed ZrNiSb crystal. The functional is PBEsol.

a b c (Å): 3.6808 4.1308 4.1308
angles (deg): 120.00 90.00 90.00
Atoms (fractional coordinates):
Sb: 0.7850 0.3333 0.6667
Zr: 0.2965 0.6667 0.3333
Ni: 0.9185 0.0000 0.0000

- Energy relative to the elements, uncorrected: -610 meV/atom
- Space group: P3m1
- Total energy: -21.63 eV/f.u.

***

This record from Alexandria describes a relaxed Zr2Ni2Sb crystal. The functional is PBEsol.

a b c (Å): 3.6207 6.8022 6.8022
angles (deg): 90.00 90.00 90.00
Atoms (fractional coordinates):
Sb: 0.0000 0.0000 0.0000
Sb: 0.0000 0.5000 0.5000
Zr: 0.5000 0.1683 0.6683
Zr: 0.5000 0.6683 0.8317
Zr: 0.5000 0.8317 0.3317
Zr: 0.5000 0.3317 0.1683
Ni: 0.0000 0.3746 0.8746
Ni: 0.0000 0.8746 0.6254
Ni: 0.0000 0.6254 0.1254
Ni: 0.0000 0.1254 0.3746

- Energy relative to the elements, uncorrected: -620 meV/atom
- Space group: P4/mbm
- Total energy: -38.15 eV/f.u.